Here is an optimized crystal structure of Tm6ScSe8 from Alexandria via LeMat-Bulk. Energies are from PBE-GGA.

Lattice parameters (Å, degrees): 7.984 7.984 7.984 60.00 60.00 60.00
Atoms (fractional coordinates):
Tm (0.000, 0.500, 0.500)
Tm (0.500, 0.000, 0.000)
Tm (0.500, 0.500, 0.000)
Tm (0.000, 0.000, 0.500)
Tm (0.000, 0.500, 0.000)
Tm (0.500, 0.000, 0.500)
Sc (0.000, 0.000, 0.000)
Se (0.750, 0.750, 0.750)
Se (0.250, 0.250, 0.250)
Se (0.751, 0.249, 0.249)
Se (0.249, 0.751, 0.751)
Se (0.249, 0.249, 0.751)
Se (0.751, 0.751, 0.249)
Se (0.751, 0.249, 0.751)
Se (0.249, 0.751, 0.249)

Results
Electronic total energy   -87.4 eV/f.u.
Raw formation energy   -1.757 eV/atom
Crystal system   cubic

Here is an optimized crystal structure of TmSc3Se4 from Alexandria via LeMat-Bulk. Energies are from PBE-GGA.

Lattice parameters (Å, degrees): 3.896 6.788 6.788 109.22 90.00 90.00
Atoms (fractional coordinates):
Tm (0.500, 0.000, 0.000)
Sc (0.000, 0.000, 0.500)
Sc (0.500, 0.500, 0.500)
Sc (0.000, 0.500, 0.000)
Se (0.000, 0.257, 0.257)
Se (0.500, 0.747, 0.253)
Se (0.000, 0.743, 0.743)
Se (0.500, 0.253, 0.747)

Results
Electronic total energy   -50.3 eV/f.u.
Raw formation energy   -1.606 eV/atom
Crystal system   orthorhombic

Here is an optimized crystal structure of YTm2ScSe4 from Alexandria via LeMat-Bulk. Energies are from PBE-GGA.

Lattice parameters (Å, degrees): 3.968 6.937 6.977 70.99 90.00 90.00
Atoms (fractional coordinates):
Y (0.500, 0.500, 0.000)
Tm (0.000, 0.000, 0.000)
Tm (0.500, 0.000, 0.500)
Sc (0.000, 0.500, 0.500)
Se (0.000, 0.751, 0.743)
Se (0.000, 0.249, 0.257)
Se (0.500, 0.746, 0.258)
Se (0.500, 0.254, 0.742)

Results
Electronic total energy   -49.0 eV/f.u.
Raw formation energy   -1.660 eV/atom
Crystal system   monoclinic

Here is an optimized crystal structure of Y2TmScSe6 from Alexandria via LeMat-Bulk. Energies are from PBE-GGA.

Lattice parameters (Å, degrees): 7.081 7.081 7.576 62.14 62.14 60.00
Atoms (fractional coordinates):
Y (0.516, 0.516, 0.451)
Y (0.015, 0.015, 0.956)
Tm (0.820, 0.820, 0.539)
Sc (0.322, 0.322, 0.033)
Se (0.593, 0.216, 0.253)
Se (0.216, 0.938, 0.253)
Se (0.938, 0.593, 0.253)
Se (0.426, 0.709, 0.759)
Se (0.709, 0.106, 0.759)
Se (0.106, 0.426, 0.759)

Results
Electronic total energy   -62.7 eV/f.u.
Raw formation energy   -1.802 eV/atom
Crystal system   trigonal